No. 1
Compound: PaTi2Tl3Te6
Source: Alexandria
Functional: PBE
Structure: relaxed

The formation energy (no corrections) comes out at -0.57 eV per atom.

a b c (Å): 7.188 12.441 8.715
angles (deg): 90.00 105.86 90.00
Space group C2/m (No. 12)
One atom of each set of equivalent atoms:
Pa 0.000 0.000 0.000 (multiplicity 2)
Ti 0.000 0.322 0.000 (multiplicity 4)
Tl 0.000 0.155 0.500 (multiplicity 4)
Tl 0.000 0.500 0.500 (multiplicity 2)
Te 0.208 0.500 0.191 (multiplicity 4)
Te 0.247 0.174 0.209 (multiplicity 8)

---

No. 2
Compound: BaNiIr2
Source: Alexandria
Functional: PBE
Structure: relaxed

The value obtained for the formation energy is 0.515 eV/atom.

a b c (Å): 2.955 4.318 6.467
angles (deg): 90.00 101.67 90.00
Space group P2/m (No. 10)
One atom of each set of equivalent atoms:
Ba 0.000 0.000 0.000 (multiplicity 1)
Ni 0.500 0.000 0.500 (multiplicity 1)
Ir 0.314 0.500 0.666 (multiplicity 2)

---

No. 3
Compound: LaGeIr2
Source: Alexandria
Functional: PBE
Structure: relaxed

The value obtained for the formation energy is -0.553 eV/atom.

a b c (Å): 4.096 4.096 9.940
angles (deg): 90.00 90.00 90.00
Space group P4/nmm (No. 129, origin choice 2)
One atom of each set of equivalent atoms:
La 0.250 0.250 0.196 (multiplicity 2)
Ge 0.250 0.250 0.640 (multiplicity 2)
Ir 0.250 0.250 0.883 (multiplicity 2)
Ir 0.250 0.750 0.500 (multiplicity 2)

---

No. 4
Compound: La3InBi
Source: Alexandria
Functional: PBE
Structure: relaxed

The polymorph energy (0 for the lowest one) is 0 meV/atom. The value obtained for the formation energy is -0.033 eV/atom.

a b c (Å): 5.959 5.959 5.959
angles (deg): 90.00 90.00 90.00
Space group Pm-3m (No. 221)
One atom of each set of equivalent atoms:
La 0.000 0.000 0.500 (multiplicity 3)
In 0.000 0.000 0.000 (multiplicity 1)
Bi 0.500 0.500 0.500 (multiplicity 1)

---

No. 5
Compound: Tb4Y3In
Source: Alexandria
Functional: PBE
Structure: relaxed

The polymorph energy (0 for the lowest one) is 8 meV/atom. The value obtained for the formation energy is -0.108 eV/atom.

a b c (Å): 11.220 7.058 6.192
angles (deg): 90.00 90.00 90.00
Space group Pmn2_1 (No. 31)
One atom of each set of equivalent atoms:
Tb 0.000 0.124 0.000 (multiplicity 2)
Tb 0.000 0.869 0.465 (multiplicity 2)
Tb 0.235 0.872 0.820 (multiplicity 4)
Y 0.000 0.371 0.470 (multiplicity 2)
Y 0.243 0.382 0.802 (multiplicity 4)
In 0.000 0.618 0.982 (multiplicity 2)

---

No. 6
Compound: Mn4Nb3V
Source: Alexandria
Functional: PBE
Structure: relaxed

The value obtained for the formation energy is -0.125 eV/atom.

a b c (Å): 3.025 3.025 12.111
angles (deg): 90.00 90.00 90.00
Space group P4/mmm (No. 123)
One atom of each set of equivalent atoms:
Mn 0.000 0.000 0.116 (multiplicity 2)
Mn 0.000 0.000 0.372 (multiplicity 2)
Nb 0.500 0.500 0.244 (multiplicity 2)
Nb 0.500 0.500 0.500 (multiplicity 1)
V 0.500 0.500 0.000 (multiplicity 1)